Compound: ScCrTc2
Source: Alexandria
Functional: PBE
Structure: relaxed

The calculation puts the formation energy from the elements at 0.2911 eV/atom. The density is 7.94 Mg/m³. The value obtained for the volume is 184 Å³ per cell. Its density of states at the Fermi level is 1.10 states/eV per atom.

```
data_ScCrTc2
_chemical_formula_sum 'Sc3 Cr3 Tc6'
_cell_length_a 2.8235
_cell_length_b 2.8235
_cell_length_c 26.6079
_cell_angle_alpha 90.00
_cell_angle_beta 90.00
_cell_angle_gamma 120.00
_symmetry_space_group_name_H-M 'R 3 m'
_symmetry_Int_Tables_number 160
_symmetry_space_group_name_Hall 'R 3 -2"'
loop_
_atom_site_label
_atom_site_fract_x
_atom_site_fract_y
_atom_site_fract_z
_atom_site_occupancy
Sc1 0.0000 0.0000 0.0000 1
Cr1 0.0000 0.0000 0.2492 1
Tc1 0.0000 0.0000 0.5062 1
Tc2 0.0000 0.0000 0.7589 1
```